{"formula": "LaCeCoCl", "functional": "PBE", "state": "relaxed", "magmom_total_mub_per_fu": 0.68, "cell": [[3.931, -0.004, -0.004], [-1.968, 3.404, 0.003], [-1.972, -1.129, 7.664]], "species": ["Ce", "Co", "Cl", "La"], "frac_coords": [[0.098, 0.947, 0.061], [0.315, 0.555, 0.886], [0.964, 0.380, 0.359], [0.501, 0.148, 0.664]]}

{"formula": "Ce6CoOs2Cl3", "functional": "PBE", "state": "relaxed", "magmom_total_mub_per_fu": 4.07, "cell": [[-3.503, 3.668, 4.687], [-3.385, -3.301, -5.033], [1.763, -6.106, 4.399]], "species": ["Ce", "Ce", "Ce", "Ce", "Ce", "Ce", "Cl", "Cl", "Cl", "Co", "Os", "Os"], "frac_coords": [[0.396, 0.068, 0.204], [0.604, 0.932, 0.796], [0.740, 0.740, 0.205], [0.932, 0.604, 0.796], [0.260, 0.260, 0.795], [0.068, 0.396, 0.204], [0.833, 0.167, 0.500], [0.167, 0.833, 0.500], [0.500, 0.500, 0.500], [0.000, 0.000, 0.000], [0.333, 0.667, 0.000], [0.667, 0.333, 0.000]]}

{"formula": "Ce8CoOs3Cl4", "functional": "PBE", "state": "relaxed", "magmom_total_mub_per_fu": 5.40, "cell": [[-7.272, -1.276, -3.087], [0.249, -8.235, 2.816], [1.085, 5.779, 5.429]], "species": ["Cl", "Cl", "Cl", "Cl", "Ce", "Ce", "Ce", "Ce", "Ce", "Ce", "Ce", "Ce", "Co", "Os", "Os", "Os"], "frac_coords": [[0.500, 0.000, 0.500], [0.000, 0.000, 0.500], [0.500, 0.000, 0.000], [0.000, 0.000, 0.000], [0.739, 0.703, 0.971], [0.767, 0.296, 0.535], [0.264, 0.292, 0.528], [0.736, 0.708, 0.472], [0.768, 0.297, 0.029], [0.261, 0.297, 0.029], [0.233, 0.704, 0.465], [0.232, 0.703, 0.971], [0.000, 0.500, 0.000], [0.500, 0.500, 0.500], [0.500, 0.500, 0.000], [0.000, 0.500, 0.500]]}

{"formula": "RbCeCo2Cl8", "functional": "PBE", "state": "relaxed", "magmom_total_mub_per_fu": 5.00, "cell": [[-3.563, 4.715, 2.773], [-4.868, 2.799, -3.330], [-9.060, -4.251, 3.271]], "species": ["Ce", "Co", "Co", "Cl", "Cl", "Cl", "Cl", "Cl", "Cl", "Cl", "Cl", "Rb"], "frac_coords": [[0.000, 0.000, 0.000], [0.748, 0.748, 0.755], [0.252, 0.252, 0.245], [0.284, 0.945, 0.167], [0.945, 0.604, 0.167], [0.178, 0.178, 0.467], [0.396, 0.716, 0.833], [0.716, 0.055, 0.833], [0.604, 0.284, 0.167], [0.822, 0.822, 0.533], [0.055, 0.396, 0.833], [0.500, 0.500, 0.500]]}

{"formula": "CeSmCoCl", "functional": "PBE", "state": "relaxed", "magmom_total_mub_per_fu": 0.55, "cell": [[3.872, -0.002, -0.001], [-1.937, 3.353, 0.001], [-1.937, -1.115, 7.545]], "species": ["Sm", "Ce", "Cl", "Co"], "frac_coords": [[0.499, 0.147, 0.662], [0.096, 0.946, 0.057], [0.969, 0.383, 0.366], [0.314, 0.555, 0.884]]}

{"formula": "TbCeCoCl", "functional": "PBE", "state": "relaxed", "magmom_total_mub_per_fu": 0.54, "cell": [[3.842, -0.001, 0.000], [-1.921, 3.327, 0.000], [-1.921, -1.108, 7.492]], "species": ["Cl", "Tb", "Ce", "Co"], "frac_coords": [[0.972, 0.384, 0.370], [0.500, 0.148, 0.663], [0.095, 0.945, 0.056], [0.311, 0.553, 0.880]]}

{"formula": "CeTlCo2Cl8", "functional": "PBE", "state": "relaxed", "magmom_total_mub_per_fu": 5.00, "cell": [[6.490, 0.000, 0.000], [3.245, 5.621, 0.000], [3.245, 1.874, 9.628]], "species": ["Co", "Co", "Tl", "Cl", "Cl", "Cl", "Cl", "Cl", "Cl", "Cl", "Cl", "Ce"], "frac_coords": [[0.750, 0.750, 0.749], [0.250, 0.250, 0.251], [0.500, 0.500, 0.500], [0.941, 0.602, 0.170], [0.714, 0.059, 0.830], [0.174, 0.174, 0.478], [0.398, 0.714, 0.830], [0.059, 0.398, 0.830], [0.286, 0.941, 0.170], [0.602, 0.286, 0.170], [0.826, 0.826, 0.522], [0.000, 0.000, 0.000]]}

{"formula": "Cs2Ce2Cl7", "functional": "PBE", "state": "relaxed", "magmom_total_mub_per_fu": 3.01, "cell": [[-6.190, -3.407, 0.159], [0.461, -1.221, -7.880], [4.236, -5.546, 1.113]], "species": ["Cs", "Cs", "Cl", "Cl", "Cl", "Cl", "Cl", "Cl", "Cl", "Ce", "Ce"], "frac_coords": [[0.230, 0.500, 0.230], [0.770, 0.500, 0.770], [0.500, 0.224, 0.000], [0.500, 0.787, 0.500], [0.500, 0.213, 0.500], [0.500, 0.776, 0.000], [0.000, 0.224, 0.500], [0.000, 0.776, 0.500], [0.000, 0.000, 0.000], [0.721, 0.000, 0.279], [0.279, 0.000, 0.721]]}

{"formula": "CsCe4Cl12", "functional": "PBE", "state": "relaxed", "magmom_total_mub_per_fu": 5.00, "cell": [[8.851, -0.028, -3.167], [-4.422, 7.679, -3.137], [0.023, 0.028, 9.400]], "species": ["Ce", "Ce", "Ce", "Ce", "Cs", "Cl", "Cl", "Cl", "Cl", "Cl", "Cl", "Cl", "Cl", "Cl", "Cl", "Cl", "Cl"], "frac_coords": [[0.500, 0.500, 0.500], [0.000, 0.000, 0.500], [0.000, 0.500, 0.000], [0.500, 0.000, 0.000], [0.000, 0.500, 0.500], [0.810, 0.596, 0.786], [0.287, 0.308, 0.595], [0.713, 0.308, 0.020], [0.094, 0.786, 0.308], [0.287, 0.692, 0.980], [0.190, 0.976, 0.786], [0.713, 0.692, 0.405], [0.810, 0.024, 0.214], [0.906, 0.214, 0.692], [0.523, 0.214, 0.308], [0.477, 0.786, 0.692], [0.190, 0.404, 0.214]]}

{"formula": "CsCe2Cl7", "functional": "PBE", "state": "relaxed", "magmom_total_mub_per_fu": 2.00, "cell": [[5.548, 0.000, 0.000], [0.000, 8.368, -0.015], [0.000, -3.705, 7.503]], "species": ["Cs", "Cl", "Cl", "Cl", "Cl", "Cl", "Cl", "Cl", "Ce", "Ce"], "frac_coords": [[0.000, 0.000, 0.000], [0.500, 0.951, 0.672], [0.500, 0.500, 0.500], [0.500, 0.049, 0.328], [0.500, 0.328, 0.049], [0.500, 0.672, 0.951], [0.000, 0.290, 0.710], [0.000, 0.710, 0.290], [0.500, 0.697, 0.303], [0.500, 0.303, 0.697]]}

{"formula": "Cs2CeCl7", "functional": "PBE", "state": "relaxed", "magmom_total_mub_per_fu": 1.02, "cell": [[8.203, 0.000, 0.000], [4.101, 7.104, 0.000], [4.101, 2.368, 6.697]], "species": ["Cl", "Cl", "Cl", "Cl", "Cl", "Cl", "Cl", "Cs", "Cs", "Ce"], "frac_coords": [[0.774, 0.226, 0.226], [0.226, 0.774, 0.226], [0.500, 0.500, 0.500], [0.226, 0.226, 0.774], [0.226, 0.774, 0.774], [0.774, 0.226, 0.774], [0.774, 0.774, 0.226], [0.250, 0.250, 0.250], [0.750, 0.750, 0.750], [0.000, 0.000, 0.000]]}

{"formula": "Cs3Ce2Cl9", "functional": "PBE", "state": "relaxed", "magmom_total_mub_per_fu": 2.00, "cell": [[10.041, -0.042, 0.852], [0.780, 10.011, 0.852], [-0.046, -0.042, 10.077]], "species": ["Cl", "Cl", "Cl", "Cl", "Cl", "Cl", "Cl", "Cl", "Cl", "Cl", "Cl", "Cl", "Cl", "Cl", "Cl", "Cl", "Cl", "Cl", "Cs", "Cs", "Cs", "Cs", "Cs", "Cs", "Ce", "Ce", "Ce", "Ce"], "frac_coords": [[0.576, 0.768, 0.413], [0.402, 0.098, 0.250], [0.076, 0.913, 0.268], [0.750, 0.598, 0.902], [0.250, 0.402, 0.098], [0.268, 0.076, 0.913], [0.098, 0.250, 0.402], [0.598, 0.902, 0.750], [0.587, 0.424, 0.232], [0.413, 0.576, 0.768], [0.902, 0.750, 0.598], [0.087, 0.732, 0.924], [0.768, 0.413, 0.576], [0.913, 0.268, 0.076], [0.232, 0.587, 0.424], [0.924, 0.087, 0.732], [0.424, 0.232, 0.587], [0.732, 0.924, 0.087], [0.415, 0.750, 0.085], [0.085, 0.415, 0.750], [0.585, 0.250, 0.915], [0.750, 0.085, 0.415], [0.250, 0.915, 0.585], [0.915, 0.585, 0.250], [0.354, 0.354, 0.354], [0.646, 0.646, 0.646], [0.854, 0.854, 0.854], [0.146, 0.146, 0.146]]}

{"formula": "Cs3Ce6Cl20", "functional": "PBE", "state": "relaxed", "magmom_total_mub_per_fu": 7.00, "cell": [[1.251, 7.025, 7.729], [-5.310, -1.097, 9.015], [5.083, -2.713, 8.802]], "species": ["Ce", "Ce", "Ce", "Ce", "Ce", "Ce", "Cl", "Cl", "Cl", "Cl", "Cl", "Cl", "Cl", "Cl", "Cl", "Cl", "Cl", "Cl", "Cl", "Cl", "Cl", "Cl", "Cl", "Cl", "Cl", "Cl", "Cs", "Cs", "Cs"], "frac_coords": [[0.734, 0.734, 0.266], [0.266, 0.266, 0.734], [0.734, 0.266, 0.734], [0.734, 0.266, 0.266], [0.266, 0.734, 0.734], [0.266, 0.734, 0.266], [0.000, 0.333, 0.000], [0.000, 0.667, 0.000], [0.667, 0.000, 0.000], [0.386, 0.386, 0.386], [0.000, 0.667, 0.333], [0.159, 0.614, 0.614], [0.614, 0.159, 0.614], [0.667, 0.000, 0.333], [0.614, 0.614, 0.159], [0.333, 0.000, 0.000], [0.667, 0.333, 0.000], [0.333, 0.000, 0.667], [0.333, 0.667, 0.000], [0.000, 0.000, 0.667], [0.386, 0.386, 0.841], [0.614, 0.614, 0.614], [0.000, 0.000, 0.333], [0.000, 0.333, 0.667], [0.841, 0.386, 0.386], [0.386, 0.841, 0.386], [0.750, 0.750, 0.750], [0.250, 0.250, 0.250], [0.000, 0.000, 0.000]]}

{"formula": "Cs4Ce6Cl19", "functional": "PBE", "state": "relaxed", "magmom_total_mub_per_fu": 9.00, "cell": [[10.576, 0.000, -3.739], [-5.288, 9.159, -3.739], [0.000, 0.000, 11.218]], "species": ["Cl", "Cl", "Cl", "Cl", "Cl", "Cl", "Cl", "Cl", "Cl", "Cl", "Cl", "Cl", "Cl", "Cl", "Cl", "Cl", "Cl", "Cl", "Cl", "Cs", "Cs", "Cs", "Cs", "Ce", "Ce", "Ce", "Ce", "Ce", "Ce"], "frac_coords": [[0.342, 0.000, 0.342], [0.954, 0.707, 0.324], [0.658, 0.000, 0.658], [0.000, 0.658, 0.658], [0.293, 0.247, 0.618], [0.247, 0.618, 0.293], [0.753, 0.046, 0.370], [0.046, 0.370, 0.753], [0.000, 0.000, 0.000], [0.630, 0.676, 0.382], [0.000, 0.342, 0.342], [0.658, 0.658, 0.000], [0.676, 0.382, 0.630], [0.382, 0.630, 0.676], [0.618, 0.293, 0.247], [0.370, 0.753, 0.046], [0.707, 0.324, 0.954], [0.324, 0.954, 0.707], [0.342, 0.342, 0.000], [0.000, 0.699, 0.000], [0.301, 0.301, 0.301], [0.000, 0.000, 0.699], [0.699, 0.000, 0.000], [0.500, 0.851, 0.351], [0.149, 0.649, 0.500], [0.351, 0.500, 0.851], [0.500, 0.149, 0.649], [0.649, 0.500, 0.149], [0.851, 0.351, 0.500]]}

{"formula": "Cs3CeCl7", "functional": "PBE", "state": "relaxed", "magmom_total_mub_per_fu": 0.00, "cell": [[7.099, 0.207, 3.691], [-1.430, 6.957, 3.691], [-0.029, -0.036, 8.763]], "species": ["Cs", "Cs", "Cs", "Cl", "Cl", "Cl", "Cl", "Cl", "Cl", "Cl", "Ce"], "frac_coords": [[0.507, 0.507, 0.918], [0.227, 0.769, 0.490], [0.769, 0.227, 0.490], [0.984, 0.294, 0.739], [0.809, 0.809, 0.896], [0.670, 0.670, 0.410], [0.294, 0.984, 0.739], [0.655, 0.122, 0.196], [0.132, 0.132, 0.136], [0.122, 0.655, 0.196], [0.954, 0.954, 0.040]]}

{"formula": "Cs2CeCl4", "functional": "PBE", "state": "relaxed", "magmom_total_mub_per_fu": 1.76, "cell": [[-4.860, -2.291, -1.717], [-0.068, -3.289, 4.581], [-6.907, 3.371, 5.790]], "species": ["Cl", "Cl", "Cl", "Cl", "Cs", "Cs", "Ce"], "frac_coords": [[0.500, 0.000, 0.000], [0.000, 0.500, 0.000], [0.163, 0.163, 0.674], [0.837, 0.837, 0.326], [0.640, 0.640, 0.719], [0.360, 0.360, 0.281], [0.000, 0.000, 0.000]]}

{"formula": "Cs3Ce2Cl8", "functional": "PBE", "state": "relaxed", "magmom_total_mub_per_fu": 3.00, "cell": [[11.560, 0.744, 4.797], [4.557, 7.190, 4.940], [3.227, -0.224, 9.295]], "species": ["Cs", "Cs", "Cs", "Cl", "Cl", "Cl", "Cl", "Cl", "Cl", "Cl", "Cl", "Ce", "Ce"], "frac_coords": [[0.000, 0.245, 0.755], [0.000, 0.755, 0.245], [0.500, 0.000, 0.000], [0.181, 0.323, 0.859], [0.819, 0.141, 0.677], [0.796, 0.224, 0.224], [0.819, 0.677, 0.141], [0.181, 0.859, 0.323], [0.168, 0.289, 0.289], [0.832, 0.711, 0.711], [0.204, 0.776, 0.776], [0.970, 0.264, 0.264], [0.030, 0.736, 0.736]]}

{"formula": "Cs5Ce2Cl12", "functional": "PBE", "state": "relaxed", "magmom_total_mub_per_fu": 1.02, "cell": [[8.377, -0.148, 1.595], [0.985, 8.885, 3.964], [-0.264, 0.606, 9.756]], "species": ["Cs", "Cs", "Cs", "Cs", "Cs", "Cl", "Cl", "Cl", "Cl", "Cl", "Cl", "Cl", "Cl", "Cl", "Cl", "Cl", "Cl", "Ce", "Ce"], "frac_coords": [[0.500, 0.000, 0.000], [0.005, 0.751, 0.751], [0.512, 0.366, 0.366], [0.488, 0.634, 0.634], [0.995, 0.249, 0.249], [0.216, 0.897, 0.306], [0.794, 0.847, 0.441], [0.149, 0.930, 0.930], [0.851, 0.070, 0.070], [0.216, 0.306, 0.897], [0.784, 0.103, 0.694], [0.206, 0.153, 0.559], [0.836, 0.468, 0.468], [0.794, 0.441, 0.847], [0.206, 0.559, 0.153], [0.164, 0.532, 0.532], [0.784, 0.694, 0.103], [0.000, 0.751, 0.249], [0.000, 0.249, 0.751]]}

{"formula": "Cs2CeCl8", "functional": "PBE", "state": "relaxed", "magmom_total_mub_per_fu": 0.00, "cell": [[-5.023, -7.375, -0.528], [-1.766, -3.628, 7.043], [-7.351, 0.436, 3.416]], "species": ["Cl", "Cl", "Cl", "Cl", "Cl", "Cl", "Cl", "Cl", "Cs", "Cs", "Ce"], "frac_coords": [[0.894, 0.151, 0.680], [0.894, 0.680, 0.151], [0.106, 0.849, 0.320], [0.106, 0.320, 0.849], [0.546, 0.418, 0.418], [0.688, 0.179, 0.179], [0.454, 0.582, 0.582], [0.312, 0.821, 0.821], [0.752, 0.755, 0.755], [0.248, 0.245, 0.245], [0.000, 0.000, 0.000]]}

Number 1: E -23.23 eV/cell. Number 2: E -80.88 eV/cell. Number 3: E -109.24 eV/cell. Number 4: E -51.84 eV/cell. Number 5: E -22.94 eV/cell. Number 6: E -22.87 eV/cell. Number 7: E -51.11 eV/cell. Number 8: E -49.25 eV/cell. Number 9: E -83.32 eV/cell. Number 10: E -47.63 eV/cell. Number 11: E -37.40 eV/cell. Number 12: E -122.44 eV/cell. Number 13: E -137.46 eV/cell. Number 14: E -135.01 eV/cell. Number 15: E -43.43 eV/cell. Number 16: E -28.44 eV/cell. Number 17: E -55.71 eV/cell. Number 18: E -77.15 eV/cell. Number 19: E -40.81 eV/cell.